Here is a geometry-optimized Rb2HfF6 structure from the Open Quantum Materials Database. Energies are from PBE.

Lattice parameters (Å, degrees): 5.926 5.926 4.611 90.00 90.00 120.00
Fractional positions:
F: 0.163 0.326 0.237
F: 0.163 0.837 0.237
F: 0.674 0.837 0.237
F: 0.326 0.163 0.763
F: 0.837 0.163 0.763
F: 0.837 0.674 0.763
Hf: 0.000 0.000 0.000
Rb: 0.667 0.333 0.292
Rb: 0.333 0.667 0.708

Properties
* total energy: -5.998 eV/atom